VASP calculation (GGA-PBE) on crystalline Ce3AsP2Ir9 at its relaxed geometry.

Its energy of formation is -0.4554 eV/atom. For the density, the calculation gives 13.3 Mg/m³. The calculation puts the electronic total energy at -119.851 eV for the cell shown. The space group is P-3m1 (164). The calculation puts the density of states at the Fermi level at 0.651 states/eV/atom.

Cell: 5.6133 5.6133 10.4703 Å, 90.00 90.00 120.00°
Closest atoms and distances in Å follow each position.
Element x y z (fractional)
Ce: 0.0000 0.0000 0.0000  6 Ir 2.81
Ce: 0.3333 0.6667 0.5885  9 Ir 2.98-3.30
Ce: 0.6667 0.3333 0.4115  9 Ir 2.98-3.30
As: 0.0000 0.0000 0.5000  6 Ir 2.51
P: 0.3333 0.6667 0.1608  6 Ir 2.30-2.34
P: 0.6667 0.3333 0.8392  6 Ir 2.30-2.34
Ir: 0.0000 0.5000 0.0000  2 P 2.34
Ir: 0.1645 0.3291 0.3150  1 P 2.30, 1 As 2.51
Ir: 0.1645 0.8355 0.3150  1 P 2.30, 1 As 2.51
Ir: 0.3291 0.1645 0.6850  1 P 2.30, 1 As 2.51
Ir: 0.5000 0.0000 0.0000  2 P 2.34
Ir: 0.5000 0.5000 0.0000  2 P 2.34
Ir: 0.6709 0.8355 0.3150  1 P 2.30, 1 As 2.51
Ir: 0.8355 0.1645 0.6850  1 P 2.30, 1 As 2.51
Ir: 0.8355 0.6709 0.6850  1 P 2.30, 1 As 2.51

VASP calculation (GGA-PBE) on crystalline ScTaMo at its relaxed geometry.

Its energy of formation is 0.0505 eV/atom. For the density, the calculation gives 9.2 Mg/m³. The calculation puts the electronic total energy at -57.727 eV for the cell shown. The space group is Imma (74). The calculation puts the density of states at the Fermi level at 1.770 states/eV/atom. The distance to the lowest polymorph of the same formula comes out at 19 meV/atom.

Cell: 5.4730 5.4730 5.4730 Å, 121.54 117.56 90.82°
Closest atoms and distances in Å follow each position.
Element x y z (fractional)
Sc: 0.3733 0.1233 0.2500  6 Mo 3.16-3.28, 6 Ta 3.17-3.22, 4 Sc 3.31-3.41
Sc: 0.6267 0.8767 0.7500  6 Mo 3.16-3.28, 6 Ta 3.17-3.22, 4 Sc 3.31-3.41
Ta: 0.0000 0.5000 0.5000  4 Mo 2.74, 2 Ta 2.84
Ta: 0.5000 0.5000 0.0000  4 Mo 2.74, 2 Ta 2.84
Mo: 0.0000 0.0000 0.5000  2 Mo 2.67, 4 Ta 2.74
Mo: 0.0000 0.5000 0.0000  2 Mo 2.67, 4 Ta 2.74

VASP calculation (GGA-PBE) on crystalline MgTcPt2 at its relaxed geometry.

Its energy of formation is -0.1951 eV/atom. For the density, the calculation gives 13.7 Mg/m³. The calculation puts the electronic total energy at -24.823 eV for the cell shown. The space group is C2/m (12). The calculation puts the density of states at the Fermi level at 1.093 states/eV/atom.

Cell: 4.7860 4.7860 4.9736 Å, 97.94 97.94 33.48°
Closest atoms and distances in Å follow each position.
Element x y z (fractional)
Mg: 0.0000 0.0000 0.0000  6 Pt 2.76-2.84, 2 Mg 2.76, 4 Tc 2.84
Tc: 0.5000 0.5000 0.5000  2 Tc 2.76, 6 Pt 2.77, 4 Mg 2.84
Pt: 0.2468 0.2468 0.7425  3 Mg 2.76-2.84, 6 Pt 2.76-2.90, 3 Tc 2.77
Pt: 0.7532 0.7532 0.2575  3 Mg 2.76-2.84, 6 Pt 2.76-2.90, 3 Tc 2.77

VASP calculation (GGA-PBE) on crystalline RbOsRhAu2 at its relaxed geometry.

Its energy of formation is 2.7171 eV/atom. For the density, the calculation gives 9.2 Mg/m³. The calculation puts the electronic total energy at -12.518 eV for the cell shown. The space group is P4/mmm (123). The calculation puts the density of states at the Fermi level at 1.314 states/eV/atom.

Cell: 5.4006 5.4006 4.7872 Å, 90.00 90.00 90.00°
Closest atoms and distances in Å follow each position.
Element x y z (fractional)
Rb: 0.0000 0.0000 0.0000  2 Rh 2.39
Os: 0.5000 0.5000 0.5000  8 Au 3.61, 4 Rh 3.82
Rh: 0.0000 0.0000 0.5000  2 Rb 2.39
Au: 0.0000 0.5000 0.0000  2 Rb 2.70
Au: 0.5000 0.0000 0.0000  2 Rb 2.70